## Li2TiCdH (PBE-GGA)

Data for crystalline Li2TiCdH at its relaxed geometry.

Properties
Total magnetization = 1.8 μB/cell
Total DFT energy (no corrections) = -16.3 eV per cell

The structure in POSCAR format:
```
Li2TiCdH
1.0
-1.5231 1.1592 -3.7095
2.9851 -2.2024 -1.9139
-2.4256 -3.2662 -0.0248
H Ti Li Cd
1 1 2 1
direct
0.0000 0.0000 0.0000
0.0000 0.0000 0.5000
0.0000 0.5000 0.0000
0.5000 0.0000 0.0000
0.5000 0.5000 0.5000
```

## Li2TlCdH (PBE-GGA)

Data for crystalline Li2TlCdH at its relaxed geometry.

Properties
Total magnetization = 0.0 μB/cell
Total DFT energy (no corrections) = -10.8 eV per cell

The structure in POSCAR format:
```
Li2TlCdH
1.0
4.2969 0.0000 0.0000
0.0000 4.2969 0.0000
0.0000 0.0000 4.7925
H Tl Li Cd
1 1 2 1
direct
0.0000 0.0000 0.0000
0.0000 0.0000 0.5000
0.0000 0.5000 0.0000
0.5000 0.0000 0.0000
0.5000 0.5000 0.5000
```

## Li2TlCdH (PBE-GGA)

Data for crystalline Li2TlCdH at its relaxed geometry.

Properties
Total magnetization = 0.0 μB/cell
Total DFT energy (no corrections) = -11.0 eV per cell

The structure in POSCAR format:
```
Li2TlCdH
1.0
4.4472 0.0000 0.0000
0.0000 4.4472 0.0000
0.0000 0.0000 4.1367
H Tl Li Cd
1 1 2 1
direct
0.0000 0.0000 0.0000
0.5000 0.5000 0.5000
0.0000 0.5000 0.0000
0.5000 0.0000 0.0000
0.0000 0.0000 0.5000
```

## LiY2CdH (PBE-GGA)

Data for crystalline LiY2CdH at its relaxed geometry.

Properties
Total magnetization = 0.6 μB/cell
Total DFT energy (no corrections) = -19.8 eV per cell

The structure in POSCAR format:
```
LiY2CdH
1.0
4.9273 0.0000 0.0000
0.0000 4.9273 0.0000
0.0000 0.0000 4.2831
Y H Li Cd
2 1 1 1
direct
0.0000 0.5000 0.0000
0.5000 0.0000 0.0000
0.0000 0.0000 0.0000
0.5000 0.5000 0.5000
0.0000 0.0000 0.5000
```

## LiY2CdH (PBE-GGA)

Data for crystalline LiY2CdH at its relaxed geometry.

Properties
Total magnetization = 0.8 μB/cell
Total DFT energy (no corrections) = -20.6 eV per cell

The structure in POSCAR format:
```
LiY2CdH
1.0
-3.1742 -3.8194 0.9696
3.8131 -3.2912 -0.4816
0.7712 0.3325 3.8345
Y H Li Cd
2 1 1 1
direct
0.0000 0.5000 0.0000
0.5000 0.0000 0.0000
0.0000 0.0000 0.0000
0.0000 0.0000 0.5000
0.5000 0.5000 0.5000
```

## LiZnCd2H (PBE-GGA)

Data for crystalline LiZnCd2H at its relaxed geometry.

Properties
Total magnetization = 0.0 μB/cell
Total DFT energy (no corrections) = -8.2 eV per cell

The structure in POSCAR format:
```
LiZnCd2H
1.0
-1.7590 0.1733 4.4958
-3.7581 -2.7107 -1.3659
1.6948 -2.7370 0.7686
H Zn Li Cd
1 1 1 2
direct
0.0000 0.0000 0.0000
0.5000 0.5000 0.5000
0.0000 0.0000 0.5000
0.0000 0.5000 0.0000
0.5000 0.0000 0.0000
```

## Li2ZnCdH (PBE-GGA)

Data for crystalline Li2ZnCdH at its relaxed geometry.

Properties
Total magnetization = 0.0 μB/cell
Total DFT energy (no corrections) = -9.8 eV per cell

The structure in POSCAR format:
```
Li2ZnCdH
1.0
4.0097 0.0000 0.0000
0.0000 4.0097 0.0000
0.0000 0.0000 4.3508
H Zn Li Cd
1 1 2 1
direct
0.0000 0.0000 0.0000
0.5000 0.5000 0.5000
0.0000 0.5000 0.0000
0.5000 0.0000 0.0000
0.0000 0.0000 0.5000
```

## LiZn2CdH (PBE-GGA)

Data for crystalline LiZn2CdH at its relaxed geometry.

Properties
Total magnetization = 0.0 μB/cell
Total DFT energy (no corrections) = -8.6 eV per cell

The structure in POSCAR format:
```
LiZn2CdH
1.0
4.2443 0.0000 0.0000
0.0000 4.2443 0.0000
0.0000 0.0000 3.8635
H Zn Li Cd
1 2 1 1
direct
0.0000 0.0000 0.0000
0.0000 0.5000 0.0000
0.5000 0.0000 0.0000
0.0000 0.0000 0.5000
0.5000 0.5000 0.5000
```

## Li2ZnCdH (PBE-GGA)

Data for crystalline Li2ZnCdH at its relaxed geometry.

Properties
Total magnetization = 0.0 μB/cell
Total DFT energy (no corrections) = -10.0 eV per cell

The structure in POSCAR format:
```
Li2ZnCdH
1.0
4.1136 0.0000 0.0000
0.0000 4.1136 0.0000
0.0000 0.0000 4.0022
H Zn Li Cd
1 1 2 1
direct
0.0000 0.0000 0.0000
0.0000 0.0000 0.5000
0.0000 0.5000 0.0000
0.5000 0.0000 0.0000
0.5000 0.5000 0.5000
```

## Lu4Cd2H (PBE-GGA)

Data for crystalline Lu4Cd2H at its relaxed geometry.

Properties
Total magnetization = 0.6 μB/cell
Total DFT energy (no corrections) = -24.3 eV per cell

The structure in POSCAR format:
```
Lu4Cd2H
1.0
-1.9101 0.6912 -4.1330
-3.9794 -1.7225 1.5510
0.7263 7.6364 3.5072
H Lu Cd
1 4 2
direct
0.0000 0.0000 0.0000
0.8250 0.8250 0.6499
0.1750 0.1750 0.3501
0.0000 0.5000 0.0000
0.5000 0.0000 0.0000
0.6328 0.6328 0.2657
0.3672 0.3672 0.7343
```

## Lu2CdH (PBE-GGA)

Data for crystalline Lu2CdH at its relaxed geometry.

Properties
Total magnetization = 0.0 μB/cell
Total DFT energy (no corrections) = -14.3 eV per cell

The structure in POSCAR format:
```
Lu2CdH
1.0
-2.0767 2.5996 1.1029
-1.0287 0.1207 3.3487
5.1211 5.0861 3.2245
H Lu Cd
1 2 1
direct
0.0000 0.0000 0.0000
0.2755 0.2755 0.1734
0.7245 0.7245 0.8266
0.5000 0.5000 0.5000
```

## LuCdH (PBE-GGA)

Data for crystalline LuCdH at its relaxed geometry.

Properties
Total magnetization = 0.0 μB/cell
Total DFT energy (no corrections) = -20.0 eV per cell

The structure in POSCAR format:
```
LuCdH
1.0
3.5247 0.0000 0.0000
-1.7623 3.0223 0.4421
0.0000 0.5764 10.2424
H Lu Cd
2 2 2
direct
0.3585 0.7170 0.9262
0.6415 0.2830 0.0738
0.7133 0.4265 0.8622
0.2867 0.5735 0.1378
0.8722 0.7444 0.3834
0.1278 0.2556 0.6166
```

## Lu3CdH (PBE-GGA)

Data for crystalline Lu3CdH at its relaxed geometry.

Properties
Total magnetization = 1.1 μB/cell
Total DFT energy (no corrections) = -18.8 eV per cell

The structure in POSCAR format:
```
Lu3CdH
1.0
-2.4646 -4.0499 0.1923
2.7784 -1.5231 3.5318
-2.9528 1.9472 3.1627
H Lu Cd
1 3 1
direct
0.0000 0.0000 0.0000
0.0000 0.5000 0.0000
0.0000 0.0000 0.5000
0.5000 0.0000 0.0000
0.5000 0.5000 0.5000
```

## Mg2CdH (PBE-GGA)

Data for crystalline Mg2CdH at its relaxed geometry.

Properties
Total magnetization = 0.0 μB/cell
Total DFT energy (no corrections) = -7.3 eV per cell

The structure in POSCAR format:
```
Mg2CdH
1.0
-2.8954 -0.6256 1.4935
-2.4258 -1.5360 -1.6618
0.7260 -7.0453 2.1409
Mg Cd H
2 1 1
direct
0.0571 0.0571 0.8287
0.2723 0.2723 0.1830
0.4980 0.4980 0.5059
0.6725 0.6725 0.9825
```

## MgCd2H (PBE-GGA)

Data for crystalline MgCd2H at its relaxed geometry.

Properties
Total magnetization = 0.0 μB/cell
Total DFT energy (no corrections) = -12.0 eV per cell

The structure in POSCAR format:
```
MgCd2H
1.0
7.3562 0.0000 0.0000
0.0000 7.3562 0.0000
3.6781 3.6781 2.6544
H Mg Cd
2 2 4
direct
0.5000 0.5000 0.0000
0.2500 0.7500 0.5000
0.0000 0.0000 0.0000
0.7500 0.2500 0.5000
0.5440 0.1250 0.2500
0.2060 0.6250 0.2500
0.3750 0.4560 0.7500
0.8750 0.7940 0.7500
```

## Mg2CdH (PBE-GGA)

Data for crystalline Mg2CdH at its relaxed geometry.

Properties
Total magnetization = 0.0 μB/cell
Total DFT energy (no corrections) = -6.1 eV per cell

The structure in POSCAR format:
```
Mg2CdH
1.0
0.0000 3.3423 3.3423
3.3423 0.0000 3.3423
3.3423 3.3423 0.0000
H Mg Cd
1 2 1
direct
0.0000 0.0000 0.0000
0.2500 0.2500 0.2500
0.7500 0.7500 0.7500
0.5000 0.5000 0.5000
```

## MgCdH (PBE-GGA)

Data for crystalline MgCdH at its relaxed geometry.

Properties
Total magnetization = 0.0 μB/cell
Total DFT energy (no corrections) = -5.5 eV per cell

The structure in POSCAR format:
```
MgCdH
1.0
3.3330 0.0000 0.0000
-1.6665 2.8865 0.0000
0.0000 0.0000 5.0901
H Mg Cd
1 1 1
direct
0.3333 0.6667 0.5444
0.6667 0.3333 0.4670
0.0000 0.0000 0.9886
```

## MgCd3H (PBE-GGA)

Data for crystalline MgCd3H at its relaxed geometry.

Properties
Total magnetization = 0.4 μB/cell
Total DFT energy (no corrections) = -4.0 eV per cell

The structure in POSCAR format:
```
MgCd3H
1.0
5.5223 0.0000 0.0000
0.0000 5.5223 0.0000
0.0000 0.0000 5.5223
H Mg Cd
1 1 3
direct
0.5000 0.5000 0.5000
0.0000 0.0000 0.0000
0.0000 0.5000 0.0000
0.0000 0.0000 0.5000
0.5000 0.0000 0.0000
```

## Mg2CdH (PBE-GGA)

Data for crystalline Mg2CdH at its relaxed geometry.

Properties
Total magnetization = 0.0 μB/cell
Total DFT energy (no corrections) = -13.9 eV per cell

The structure in POSCAR format:
```
Mg2CdH
1.0
5.5379 0.0000 0.0000
0.0000 5.5379 0.0000
2.7690 2.7690 5.0159
H Mg Cd
2 4 2
direct
0.5000 0.5000 0.0000
0.2500 0.7500 0.5000
0.4734 0.1250 0.2500
0.2766 0.6250 0.2500
0.3750 0.5266 0.7500
0.8750 0.7234 0.7500
0.0000 0.0000 0.0000
0.7500 0.2500 0.5000
```

## MgCd3H (PBE-GGA)

Data for crystalline MgCd3H at its relaxed geometry.

Properties
Total magnetization = 0.0 μB/cell
Total DFT energy (no corrections) = -6.5 eV per cell

The structure in POSCAR format:
```
MgCd3H
1.0
4.5658 0.0000 0.0000
0.0000 4.5658 0.0000
0.0000 0.0000 4.5658
H Mg Cd
1 1 3
direct
0.0000 0.0000 0.0000
0.5000 0.5000 0.5000
0.0000 0.5000 0.0000
0.0000 0.0000 0.5000
0.5000 0.0000 0.0000
```